[1]
Entry from OQMD via LeMat-Bulk: a geometry-optimized ZrFeCuAs structure (PBE).

Output
* space-group type: No. 216
* relative energy among the computed polymorphs: 0.108 eV per atom

Unit cell a=4.463 b=4.463 c=4.463 alpha=60.00 beta=60.00 gamma=60.00
Element x y z (fractional)
1 Zr 0.000 0.000 0.000
2 Fe 0.750 0.750 0.750
3 Cu 0.500 0.500 0.500
4 As 0.250 0.250 0.250



[2]
Entry from OQMD via LeMat-Bulk: a geometry-optimized Nb3SiB2 structure (PBE).

Output
* energy: -104.99 eV for the cell shown
* space-group type: No. 194

Unit cell a=3.268 b=3.268 c=17.969 alpha=90.00 beta=90.00 gamma=120.00
Element x y z (fractional)
1 Nb 0.000 0.000 0.000
2 Nb 0.000 0.000 0.500
3 Nb 0.333 0.667 0.144
4 Nb 0.333 0.667 0.356
5 Nb 0.667 0.333 0.644
6 Nb 0.667 0.333 0.856
7 Si 0.000 0.000 0.250
8 Si 0.000 0.000 0.750
9 B 0.333 0.667 0.575
10 B 0.333 0.667 0.925
11 B 0.667 0.333 0.075
12 B 0.667 0.333 0.425



[3]
Entry from OQMD via LeMat-Bulk: a geometry-optimized Gd3Pd4 structure (PBE).

Output
* space-group type: No. 148
* E_form: -0.91 eV/atom

Unit cell a=7.937 b=7.937 c=7.937 alpha=114.33 beta=114.33 gamma=114.33
Element x y z (fractional)
1 Gd 0.025 0.405 0.277
2 Gd 0.277 0.025 0.405
3 Gd 0.405 0.277 0.025
4 Gd 0.595 0.723 0.975
5 Gd 0.723 0.975 0.595
6 Gd 0.975 0.595 0.723
7 Pd 0.000 0.000 0.000
8 Pd 0.063 0.227 0.552
9 Pd 0.227 0.552 0.063
10 Pd 0.448 0.937 0.773
11 Pd 0.500 0.500 0.500
12 Pd 0.552 0.063 0.227
13 Pd 0.773 0.448 0.937
14 Pd 0.937 0.773 0.448